5
Lattice="4.1469 0.0000 0.0000 0.0000 4.1469 0.0000 0.0000 0.0000 4.1469" Properties=species:S:1:pos:R:3 comment="TlNiF3 PBE with a Hubbard U relaxed" mass_density_g_cm3=7.453 spacegroup="No. 221" total_energy_ev_per_cell=-20.606 polymorph_energy_ev_per_atom=0.0113 magmom_total_mub_per_atom=0.400 crystal_system=cubic pbc="T T T"
Tl 0.0000 0.0000 0.0000
Ni 2.0735 2.0735 2.0735
F 0.0000 2.0735 2.0735
F 2.0735 0.0000 2.0735
F 2.0735 2.0735 0.0000